# 1
Material: Zr3U2Ge4
Method: DFT, PBE-GGA
State: optimized geometry

Output
ΔH_f (0 K)	-0.57	eV/atom
symmetry	P2_1/c, No. 14

Cell lengths 7.4182, 7.4276, 7.2200 Å; angles 90.00, 109.76, 90.00 degrees
Fractional coordinates of all 18 atoms:
Zr 0.0000 0.0000 0.0000
Zr 0.0000 0.5000 0.5000
Zr 0.2513 0.1736 0.7527
Zr 0.2513 0.3264 0.2527
Zr 0.7487 0.6736 0.7473
Zr 0.7487 0.8264 0.2473
U 0.3171 0.6681 0.9376
U 0.3171 0.8319 0.4376
U 0.6829 0.1681 0.5624
U 0.6829 0.3319 0.0624
Ge 0.0124 0.6324 0.1355
Ge 0.0124 0.8676 0.6355
Ge 0.4165 0.0366 0.1441
Ge 0.4165 0.4634 0.6441
Ge 0.5835 0.5366 0.3559
Ge 0.5835 0.9634 0.8559
Ge 0.9876 0.1324 0.3645
Ge 0.9876 0.3676 0.8645

=====

# 2
Material: Ho3Er4TmS8
Method: DFT, PBE-GGA
State: optimized geometry

Output
symmetry	R-3m, No. 166
uncorrected formation energy	-1954	meV/atom

Cell lengths 7.7372, 7.7372, 7.7372 Å; angles 60.02, 60.02, 60.02 degrees
Fractional coordinates of all 16 atoms:
Ho 0.0000 0.5000 0.5000
Ho 0.5000 0.0000 0.5000
Ho 0.5000 0.5000 0.0000
Er 0.0000 0.0000 0.5000
Er 0.0000 0.5000 0.0000
Er 0.5000 0.0000 0.0000
Er 0.5000 0.5000 0.5000
Tm 0.0000 0.0000 0.0000
S 0.2478 0.7508 0.7508
S 0.2493 0.2493 0.2493
S 0.2492 0.2492 0.7522
S 0.2492 0.7522 0.2492
S 0.7508 0.2478 0.7508
S 0.7508 0.7508 0.2478
S 0.7507 0.7507 0.7507
S 0.7522 0.2492 0.2492

=====

# 3
Material: CeScCl4
Method: DFT, PBE-GGA
State: optimized geometry

Output
symmetry	C2/c, No. 15
uncorrected formation energy	-1837	meV/atom

Cell lengths 8.7879, 8.7879, 6.5925 Å; angles 104.44, 104.44, 127.61 degrees
Fractional coordinates of all 12 atoms:
Ce 0.0623 0.9377 0.7500
Ce 0.9377 0.0623 0.2500
Sc 0.4425 0.5575 0.2500
Sc 0.5575 0.4425 0.7500
Cl 0.0988 0.4442 0.2472
Cl 0.2137 0.3457 0.7724
Cl 0.3457 0.2137 0.2724
Cl 0.4442 0.0988 0.7472
Cl 0.5558 0.9012 0.2528
Cl 0.6543 0.7863 0.7276
Cl 0.7863 0.6543 0.2276
Cl 0.9012 0.5558 0.7528

=====

# 4
Material: PrDyCuAg
Method: DFT, PBE-GGA
State: optimized geometry

Output
ΔH_f (0 K)	-0.24	eV/atom
symmetry	P4mm, No. 99
ΔE to the lowest computed polymorph	0.00	kcal/mol of atoms

Cell lengths 3.5953, 3.5953, 7.3829 Å; angles 90.00, 90.00, 90.00 degrees
Fractional coordinates of all 4 atoms:
Pr 0.0000 0.0000 0.0000
Dy 0.0000 0.0000 0.5269
Cu 0.5000 0.5000 0.7396
Ag 0.5000 0.5000 0.2859

=====

# 5
Material: CsAs2S4
Method: DFT, PBE-GGA
State: optimized geometry

Output
symmetry	Cccm, No. 66
uncorrected formation energy	-321	meV/atom

Cell lengths 7.2759, 7.2759, 12.7011 Å; angles 90.00, 90.00, 124.52 degrees
Fractional coordinates of all 14 atoms:
Cs 0.0000 0.0000 0.2500
Cs 0.0000 0.0000 0.7500
As 0.2437 0.7366 0.0000
As 0.2634 0.7563 0.5000
As 0.7366 0.2437 0.5000
As 0.7563 0.2634 0.0000
S 0.0000 0.5000 0.1330
S 0.0000 0.5000 0.8670
S 0.0317 0.2381 0.5000
S 0.2381 0.0317 0.0000
S 0.5000 0.0000 0.3670
S 0.5000 0.0000 0.6330
S 0.7619 0.9683 0.0000
S 0.9683 0.7619 0.5000

=====

# 6
Material: Pm9DyAl2
Method: DFT, PBE-GGA
State: optimized geometry

Output
ΔH_f (0 K)	-0.10	eV/atom
symmetry	P4/mmm, No. 123

Cell lengths 4.9205, 4.9205, 15.0767 Å; angles 90.00, 90.00, 90.00 degrees
Fractional coordinates of all 12 atoms:
Pm 0.0000 0.0000 0.0000
Pm 0.0000 0.0000 0.3397
Pm 0.0000 0.0000 0.6603
Pm 0.0000 0.5000 0.1772
Pm 0.0000 0.5000 0.5000
Pm 0.0000 0.5000 0.8228
Pm 0.5000 0.0000 0.1772
Pm 0.5000 0.0000 0.5000
Pm 0.5000 0.0000 0.8228
Dy 0.5000 0.5000 0.0000
Al 0.5000 0.5000 0.3398
Al 0.5000 0.5000 0.6602

=====

# 7
Material: MnW2Cl
Method: DFT, PBE-GGA
State: optimized geometry

Output
symmetry	I-42d, No. 122
ΔE to the lowest computed polymorph	26.42	kcal/mol of atoms
uncorrected formation energy	1455	meV/atom

Cell lengths 5.4186, 5.4186, 10.6388 Å; angles 90.00, 90.00, 90.00 degrees
Fractional coordinates of all 16 atoms:
Mn 0.0000 0.0000 0.0000
Mn 0.0000 0.5000 0.2500
Mn 0.5000 0.0000 0.7500
Mn 0.5000 0.5000 0.5000
W 0.2336 0.2500 0.1250
W 0.2500 0.7336 0.3750
W 0.2500 0.7664 0.8750
W 0.2664 0.2500 0.6250
W 0.7336 0.7500 0.6250
W 0.7500 0.2336 0.8750
W 0.7500 0.2664 0.3750
W 0.7664 0.7500 0.1250
Cl 0.0000 0.0000 0.5000
Cl 0.0000 0.5000 0.7500
Cl 0.5000 0.0000 0.2500
Cl 0.5000 0.5000 0.0000

=====

# 8
Material: CrTe2I
Method: DFT, PBE-GGA
State: optimized geometry

Output
symmetry	P1, No. 1
ΔE to the lowest computed polymorph	5.26	kcal/mol of atoms
uncorrected formation energy	15	meV/atom

Cell lengths 6.3721, 6.7031, 7.2915 Å; angles 100.79, 98.30, 102.82 degrees
Fractional coordinates of all 8 atoms:
Cr 0.0000 0.0000 0.0000
Cr 0.0894 0.3089 0.1223
Te 0.2081 0.9418 0.2980
Te 0.3397 0.3768 0.4439
Te 0.3465 0.2011 0.8914
Te 0.6935 0.1237 0.1512
I 0.7676 0.9240 0.6411
I 0.9449 0.5397 0.8989

=====

# 9
Material: AgSnBiCl6
Method: DFT, PBE-GGA
State: optimized geometry

Output
symmetry	P4_2nm, No. 102
uncorrected formation energy	-863	meV/atom

Cell lengths 6.5997, 6.5997, 12.5558 Å; angles 90.00, 90.00, 90.00 degrees
Fractional coordinates of all 18 atoms:
Ag 0.0000 0.0000 0.0000
Ag 0.5000 0.5000 0.5000
Sn 0.0000 0.0000 0.3304
Sn 0.5000 0.5000 0.8304
Bi 0.0000 0.0000 0.6648
Bi 0.5000 0.5000 0.1648
Cl 0.1923 0.1923 0.8309
Cl 0.1978 0.1978 0.5034
Cl 0.2049 0.2049 0.1595
Cl 0.2951 0.7049 0.6595
Cl 0.3022 0.6978 0.0034
Cl 0.3077 0.6923 0.3309
Cl 0.6923 0.3077 0.3309
Cl 0.6978 0.3022 0.0034
Cl 0.7049 0.2951 0.6595
Cl 0.7951 0.7951 0.1595
Cl 0.8022 0.8022 0.5034
Cl 0.8077 0.8077 0.8309

=====

# 10
Material: Li6CuRh8
Method: DFT, PBE-GGA
State: optimized geometry

Output
ΔH_f (0 K)	0.02	eV/atom
symmetry	R-3, No. 148

Cell lengths 6.4038, 6.4038, 6.4038 Å; angles 66.67, 66.67, 66.67 degrees
Fractional coordinates of all 15 atoms:
Li 0.1548 0.5639 0.1572
Li 0.1572 0.1548 0.5639
Li 0.4361 0.8428 0.8452
Li 0.5639 0.1572 0.1548
Li 0.8428 0.8452 0.4361
Li 0.8452 0.4361 0.8428
Cu 0.0000 0.0000 0.0000
Rh 0.0988 0.7222 0.7221
Rh 0.2778 0.2779 0.9012
Rh 0.2779 0.9012 0.2778
Rh 0.4188 0.4188 0.4188
Rh 0.5812 0.5812 0.5812
Rh 0.7221 0.0988 0.7222
Rh 0.7222 0.7221 0.0988
Rh 0.9012 0.2778 0.2779

=====

no.,size of the total moment (μB/cell)
1,10.21
2,0.00
3,3.64
4,0.00
5,0.00
6,0.00
7,0.00
8,0.00
9,0.00
10,0.49